Pm2CuI2 (PBE, optimized geometry); N(E_F) = 4.7 states/eV per cell; ΔE_f (raw) = -0.79 eV/atom
1.0
-3.298 -1.566 -2.033
-0.190 -4.090 -0.836
-6.659 -3.746 9.393
I Pm Cu
2 2 1
direct
0.226 0.226 0.322
0.774 0.774 0.678
0.620 0.620 0.141
0.380 0.380 0.859
0.000 0.000 0.000